[1]
TbCeCuGe PBE relaxed; DOS at the Fermi energy = 2.34 states/eV per atom; ΔE_f = -1.6 eV per formula unit
1.0
0.000 3.567 3.567
3.567 0.000 3.567
3.567 3.567 0.000
Tb Ce Cu Ge
1 1 1 1
Direct
0.000 0.000 0.000 Tb
0.500 0.500 0.500 Ce
0.250 0.250 0.250 Cu
0.750 0.750 0.750 Ge

=====

[2]
Ag2Hg2Pt PBE relaxed; DOS at the Fermi energy = 0.36 states/eV per atom; polymorph energy (0 for the lowest one) = 0.00 eV per formula unit; ΔE_f = 1.2 eV per formula unit
1.0
7.231 0.000 0.000
0.000 7.231 0.000
0.000 0.000 3.903
Ag Hg Pt
4 4 2
Direct
0.156 0.344 0.000 Ag
0.344 0.844 0.000 Ag
0.656 0.156 0.000 Ag
0.844 0.656 0.000 Ag
0.146 0.646 0.500 Hg
0.354 0.146 0.500 Hg
0.646 0.854 0.500 Hg
0.854 0.354 0.500 Hg
0.000 0.000 0.500 Pt
0.500 0.500 0.500 Pt

=====

[3]
SrNbS2Cl PBE relaxed; DOS at the Fermi energy = 1.48 states/eV per atom; polymorph energy (0 for the lowest one) = 7.69 eV per formula unit
1.0
5.504 0.000 0.000
0.000 5.504 0.000
0.000 0.000 5.222
Sr Nb S Cl
1 1 2 1
Direct
0.000 0.000 0.000 Sr
0.500 0.500 0.500 Nb
0.000 0.500 0.000 S
0.500 0.000 0.000 S
0.000 0.000 0.500 Cl